[1]
VASP calculation (PBE) on crystalline Ca2TcHgPt at its relaxed geometry.

Lattice parameters (Å, degrees): 5.5158 4.7154 5.5158 90.00 90.00 90.00
With the nearest neighbours (Å) after each atom.
Fractional positions:
Ca  0.0000  0.0000  0.5000  2 Tc 2.76
Ca  0.5000  0.0000  0.0000  2 Tc 2.76
Hg  0.5000  0.5000  0.5000  8 Ca 3.63, 4 Pt 3.90
Pt  0.0000  0.5000  0.0000  2 Tc 2.36
Tc  0.0000  0.0000  0.0000  2 Pt 2.36

* final energy: -19.3 eV for the cell shown
* SG: P4/mmm (123)
* D(E_F): 0.932 states/eV/atom
* magnetization: 0.0 μB per formula unit
* volume: 143.46 Å³/cell
* energy relative to the elements: 0.2811 eV/atom


[2]
VASP calculation (PBE) on crystalline CaThHgPt at its relaxed geometry.

Lattice parameters (Å, degrees): 5.2050 5.2050 5.2050 60.00 60.00 60.00
With the nearest neighbours (Å) after each atom.
Fractional positions:
Ca  0.5000  0.5000  0.5000  4 Hg 3.19, 4 Pt 3.19
Pt  0.7500  0.7500  0.7500  4 Th 3.19, 4 Ca 3.19
Hg  0.2500  0.2500  0.2500  4 Th 3.19, 4 Ca 3.19
Th  0.0000  0.0000  0.0000  4 Hg 3.19, 4 Pt 3.19

* final energy: -18.3 eV for the cell shown
* SG: F-43m (216)
* D(E_F): 1.006 states/eV/atom
* magnetization: 0.0 μB per formula unit
* volume: 99.71 Å³/cell
* energy relative to the elements: -0.6373 eV/atom


[3]
VASP calculation (PBE) on crystalline Ca2TlHgPt at its relaxed geometry.

Lattice parameters (Å, degrees): 5.5406 5.5406 5.2291 90.00 90.00 90.00
With the nearest neighbours (Å) after each atom.
Fractional positions:
Tl  0.0000  0.0000  0.5000  2 Pt 2.61
Ca  0.0000  0.5000  0.0000  2 Pt 2.77
Ca  0.5000  0.0000  0.0000  2 Pt 2.77
Hg  0.5000  0.5000  0.5000  8 Ca 3.81, 4 Tl 3.92
Pt  0.0000  0.0000  0.0000  2 Tl 2.61, 4 Ca 2.77

* final energy: -14.9 eV for the cell shown
* SG: P4/mmm (123)
* D(E_F): 0.564 states/eV/atom
* magnetization: 0.0 μB per formula unit
* volume: 160.53 Å³/cell
* energy relative to the elements: -0.4440 eV/atom


[4]
VASP calculation (PBE) on crystalline CaTlHgPt at its relaxed geometry.

Lattice parameters (Å, degrees): 5.0925 5.0925 5.0925 60.00 60.00 60.00
With the nearest neighbours (Å) after each atom.
Fractional positions:
Tl  0.0000  0.0000  0.0000  4 Pt 3.12, 4 Hg 3.12
Ca  0.5000  0.5000  0.5000  4 Hg 3.12, 4 Pt 3.12
Hg  0.7500  0.7500  0.7500  4 Ca 3.12, 4 Tl 3.12
Pt  0.2500  0.2500  0.2500  4 Tl 3.12, 4 Ca 3.12

* final energy: -12.2 eV for the cell shown
* SG: F-43m (216)
* D(E_F): 0.357 states/eV/atom
* magnetization: 0.0 μB per formula unit
* volume: 93.38 Å³/cell
* energy relative to the elements: -0.3804 eV/atom


[5]
VASP calculation (PBE) on crystalline CaZrHgPt2 at its relaxed geometry.

Lattice parameters (Å, degrees): 5.1588 5.0949 5.1588 90.00 90.00 90.00
With the nearest neighbours (Å) after each atom.
Fractional positions:
Zr  0.0000  0.5000  0.0000  2 Hg 2.55
Ca  0.5000  0.5000  0.5000  8 Pt 3.63, 4 Zr 3.65
Hg  0.0000  0.0000  0.0000  2 Zr 2.55, 4 Pt 2.58
Pt  0.0000  0.0000  0.5000  2 Hg 2.58
Pt  0.5000  0.0000  0.0000  2 Hg 2.58

* final energy: -19.8 eV for the cell shown
* SG: P4/mmm (123)
* D(E_F): 1.220 states/eV/atom
* magnetization: 1.7 μB per formula unit
* volume: 135.59 Å³/cell
* energy relative to the elements: 0.6250 eV/atom


[6]
VASP calculation (PBE) on crystalline CaZrHgPt at its relaxed geometry.

Lattice parameters (Å, degrees): 4.9637 4.9637 4.9637 60.00 60.00 60.00
With the nearest neighbours (Å) after each atom.
Fractional positions:
Zr  0.5000  0.5000  0.5000  4 Pt 3.04, 4 Hg 3.04
Ca  0.0000  0.0000  0.0000  4 Hg 3.04, 4 Pt 3.04
Hg  0.2500  0.2500  0.2500  4 Zr 3.04, 4 Ca 3.04
Pt  0.7500  0.7500  0.7500  4 Zr 3.04, 4 Ca 3.04

* final energy: -18.9 eV for the cell shown
* SG: F-43m (216)
* D(E_F): 0.812 states/eV/atom
* magnetization: 0.0 μB per formula unit
* volume: 86.48 Å³/cell
* energy relative to the elements: -0.5010 eV/atom


[7]
VASP calculation (PBE) on crystalline Ca2PuHg4 at its relaxed geometry.

Lattice parameters (Å, degrees): 5.3481 5.3481 7.2778 90.00 90.00 90.00
With the nearest neighbours (Å) after each atom.
Fractional positions:
Ca  0.0000  0.0000  0.0000  8 Hg 3.25
Ca  0.5000  0.5000  0.5000  8 Hg 3.22
Hg  0.5000  0.0000  0.2540  4 Ca 3.22-3.25, 2 Pu 3.25, 1 Hg 3.58
Hg  0.0000  0.5000  0.7460  4 Ca 3.22-3.25, 2 Pu 3.25, 1 Hg 3.58
Hg  0.5000  0.0000  0.7460  4 Ca 3.22-3.25, 2 Pu 3.25, 1 Hg 3.58
Hg  0.0000  0.5000  0.2540  4 Ca 3.22-3.25, 2 Pu 3.25, 1 Hg 3.58
Pu  0.5000  0.5000  0.0000  8 Hg 3.25, 2 Ca 3.64

* final energy: -21.2 eV for the cell shown
* SG: P4/mmm (123)
* D(E_F): 2.117 states/eV/atom
* magnetization: 6.5 μB per formula unit
* volume: 208.16 Å³/cell
* energy relative to the elements: -0.2413 eV/atom


[8]
VASP calculation (PBE) on crystalline CaPuHg2 at its relaxed geometry.

Lattice parameters (Å, degrees): 3.5564 5.5017 5.5017 90.00 90.00 90.00
With the nearest neighbours (Å) after each atom.
Fractional positions:
Ca  0.5000  0.0000  0.0000  8 Hg 3.28, 2 Ca 3.56
Hg  0.0000  0.0000  0.5000  4 Pu 3.28, 4 Ca 3.28, 2 Hg 3.56
Hg  0.0000  0.5000  0.0000  4 Ca 3.28, 4 Pu 3.28, 2 Hg 3.56
Pu  0.5000  0.5000  0.5000  8 Hg 3.28, 2 Pu 3.56

* final energy: -18.2 eV for the cell shown
* SG: P4/mmm (123)
* D(E_F): 2.817 states/eV/atom
* magnetization: 5.7 μB per formula unit
* volume: 107.65 Å³/cell
* energy relative to the elements: -0.3211 eV/atom


[9]
VASP calculation (PBE) on crystalline CaPu3Hg12 at its relaxed geometry.

Lattice parameters (Å, degrees): 4.6964 4.7021 18.8590 90.00 90.00 90.00
With the nearest neighbours (Å) after each atom.
Fractional positions:
Ca  0.0000  0.0000  0.0000  12 Hg 3.32-3.34
Pu  0.0000  0.0000  0.2485  12 Hg 3.30-3.34
Pu  0.0000  0.0000  0.5000  12 Hg 3.32-3.33
Pu  0.0000  0.0000  0.7515  12 Hg 3.30-3.34
Hg  0.5000  0.5000  0.0000  4 Ca 3.32, 8 Hg 3.34
Hg  0.5000  0.5000  0.2491  8 Hg 3.31-3.34, 4 Pu 3.32
Hg  0.5000  0.5000  0.5000  4 Pu 3.32, 8 Hg 3.33
Hg  0.5000  0.5000  0.7509  8 Hg 3.31-3.34, 4 Pu 3.32
Hg  0.5000  0.0000  0.1255  2 Pu 3.30, 8 Hg 3.31-3.34, 2 Ca 3.33
Hg  0.5000  0.0000  0.3746  8 Hg 3.32-3.34, 4 Pu 3.33-3.34
Hg  0.5000  0.0000  0.6254  8 Hg 3.32-3.34, 4 Pu 3.33-3.34
Hg  0.5000  0.0000  0.8745  2 Pu 3.30, 8 Hg 3.31-3.34, 2 Ca 3.33
Hg  0.0000  0.5000  0.1257  2 Pu 3.30, 8 Hg 3.31-3.34, 2 Ca 3.34
Hg  0.0000  0.5000  0.3747  8 Hg 3.32-3.34, 4 Pu 3.33-3.34
Hg  0.0000  0.5000  0.6253  8 Hg 3.32-3.34, 4 Pu 3.33-3.34
Hg  0.0000  0.5000  0.8743  2 Pu 3.30, 8 Hg 3.31-3.34, 2 Ca 3.34

* final energy: -51.1 eV for the cell shown
* SG: P4/mmm (123)
* D(E_F): 3.096 states/eV/atom
* magnetization: 6.2 μB per formula unit
* volume: 416.46 Å³/cell
* energy relative to the elements: -0.1554 eV/atom


[10]
VASP calculation (PBE) on crystalline Ca2PuHg7 at its relaxed geometry.

Lattice parameters (Å, degrees): 5.1700 5.1700 11.9187 90.00 90.00 120.00
With the nearest neighbours (Å) after each atom.
Fractional positions:
Ca  0.6667  0.3333  0.2582  10 Hg 3.11-3.44
Ca  0.3333  0.6667  0.6541  8 Hg 3.00-3.26
Pu  0.0000  0.0000  0.0371  11 Hg 3.23-3.52
Hg  0.3333  0.6667  0.4021  4 Hg 2.96-3.10, 1 Ca 3.00
Hg  0.3333  0.6667  0.1541  2 Hg 2.93-2.96, 3 Ca 3.23
Hg  0.0000  0.0000  0.3328  3 Hg 3.10, 3 Ca 3.11
Hg  0.0000  0.0000  0.7599  3 Ca 3.24, 1 Pu 3.30, 6 Hg 3.47-3.63
Hg  0.6667  0.3333  0.5444  4 Ca 3.26-3.41, 3 Hg 3.43
Hg  0.6667  0.3333  0.9329  3 Hg 3.00, 3 Pu 3.23
Hg  0.3333  0.6667  0.9079  4 Hg 2.93-3.00, 1 Ca 3.02

* final energy: -22.7 eV for the cell shown
* SG: P3m1 (156)
* D(E_F): 1.652 states/eV/atom
* magnetization: 5.8 μB per formula unit
* volume: 275.89 Å³/cell
* energy relative to the elements: -0.2279 eV/atom


[11]
VASP calculation (PBE) on crystalline CaPu3Hg4 at its relaxed geometry.

Lattice parameters (Å, degrees): 3.6084 3.6084 16.3266 90.00 90.00 90.00
With the nearest neighbours (Å) after each atom.
Fractional positions:
Ca  0.5000  0.5000  0.0000  8 Hg 3.24, 4 Ca 3.61
Hg  0.0000  0.0000  0.8777  4 Ca 3.24, 4 Pu 3.28, 4 Hg 3.61
Hg  0.0000  0.0000  0.1223  4 Ca 3.24, 4 Pu 3.28, 4 Hg 3.61
Hg  0.0000  0.0000  0.3742  8 Pu 3.28, 4 Hg 3.61
Hg  0.0000  0.0000  0.6258  8 Pu 3.28, 4 Hg 3.61
Pu  0.5000  0.5000  0.2483  8 Hg 3.28, 4 Pu 3.61
Pu  0.5000  0.5000  0.5000  8 Hg 3.28, 4 Pu 3.61
Pu  0.5000  0.5000  0.7517  8 Hg 3.28, 4 Pu 3.61

* final energy: -47.9 eV for the cell shown
* SG: P4/mmm (123)
* D(E_F): 2.869 states/eV/atom
* magnetization: 5.8 μB per formula unit
* volume: 212.59 Å³/cell
* energy relative to the elements: -0.2120 eV/atom


[12]
VASP calculation (PBE) on crystalline Ca5PuHg6 at its relaxed geometry.

Lattice parameters (Å, degrees): 5.3622 9.2723 9.2723 119.84 106.82 106.82
With the nearest neighbours (Å) after each atom.
Fractional positions:
Ca  0.5000  0.1673  0.8327  8 Hg 3.26-3.31
Ca  0.0000  0.3343  0.6657  8 Hg 3.29-3.30
Ca  0.5000  0.5000  0.5000  8 Hg 3.27-3.31
Ca  0.0000  0.6657  0.3343  8 Hg 3.29-3.30
Ca  0.5000  0.8327  0.1673  8 Hg 3.26-3.31
Hg  0.2472  0.0819  0.4120  1 Pu 3.24, 7 Ca 3.27-3.31
Hg  0.7528  0.5880  0.9181  1 Pu 3.24, 7 Ca 3.27-3.31
Hg  0.7447  0.2445  0.2445  2 Pu 3.26, 6 Ca 3.26-3.31
Hg  0.2553  0.7555  0.7555  2 Pu 3.26, 6 Ca 3.26-3.31
Hg  0.2472  0.4120  0.0819  1 Pu 3.24, 7 Ca 3.27-3.31
Hg  0.7528  0.9181  0.5880  1 Pu 3.24, 7 Ca 3.27-3.31
Pu  0.0000  0.0000  0.0000  8 Hg 3.24-3.26

* final energy: -31.8 eV for the cell shown
* SG: Immm (71)
* D(E_F): 1.148 states/eV/atom
* magnetization: 5.7 μB per formula unit
* volume: 326.48 Å³/cell
* energy relative to the elements: -0.4733 eV/atom


[13]
VASP calculation (PBE) on crystalline Ca3PuHg4 at its relaxed geometry.

Lattice parameters (Å, degrees): 3.7124 3.7124 15.6431 90.00 90.00 90.00
With the nearest neighbours (Å) after each atom.
Fractional positions:
Ca  0.5000  0.5000  0.2523  8 Hg 3.26-3.27
Ca  0.5000  0.5000  0.5000  8 Hg 3.26
Ca  0.5000  0.5000  0.7477  8 Hg 3.26-3.27
Hg  0.0000  0.0000  0.8728  4 Ca 3.27, 4 Pu 3.29
Hg  0.0000  0.0000  0.1272  4 Ca 3.27, 4 Pu 3.29
Hg  0.0000  0.0000  0.3763  8 Ca 3.26
Hg  0.0000  0.0000  0.6237  8 Ca 3.26
Pu  0.5000  0.5000  0.0000  8 Hg 3.29

* final energy: -25.0 eV for the cell shown
* SG: P4/mmm (123)
* D(E_F): 1.504 states/eV/atom
* magnetization: 5.9 μB per formula unit
* volume: 215.59 Å³/cell
* energy relative to the elements: -0.4330 eV/atom


[14]
VASP calculation (PBE) on crystalline CaPu2Hg7 at its relaxed geometry.

Lattice parameters (Å, degrees): 5.1448 5.1448 12.0421 90.00 90.00 120.00
With the nearest neighbours (Å) after each atom.
Fractional positions:
Ca  0.0000  0.0000  0.9716  10 Hg 3.27-3.58
Pu  0.6667  0.3333  0.4256  6 Hg 3.13-3.30
Pu  0.3333  0.6667  0.6104  8 Hg 2.98-3.33
Hg  0.3333  0.6667  0.3444  4 Hg 2.95-3.11, 4 Pu 3.13-3.20
Hg  0.3333  0.6667  0.0992  5 Hg 2.90-2.99
Hg  0.0000  0.0000  0.2685  7 Hg 3.11-3.43
Hg  0.0000  0.0000  0.5446  6 Pu 3.07-3.30, 1 Hg 3.32
Hg  0.6667  0.3333  0.7348  3 Hg 3.32, 3 Pu 3.33
Hg  0.6667  0.3333  0.1261  3 Hg 2.99
Hg  0.3333  0.6667  0.8582  1 Hg 2.90, 1 Pu 2.98

* final energy: -34.0 eV for the cell shown
* SG: P3m1 (156)
* D(E_F): 2.289 states/eV/atom
* magnetization: 12.1 μB per formula unit
* volume: 276.04 Å³/cell
* energy relative to the elements: -0.1192 eV/atom


[15]
VASP calculation (PBE) on crystalline CaPuHgRh at its relaxed geometry.

Lattice parameters (Å, degrees): 5.0989 5.0989 5.0989 60.00 60.00 60.00
With the nearest neighbours (Å) after each atom.
Fractional positions:
Ca  0.7500  0.7500  0.7500  4 Hg 3.12, 4 Rh 3.12
Rh  0.0000  0.0000  0.0000  4 Pu 3.12, 4 Ca 3.12
Hg  0.5000  0.5000  0.5000  4 Ca 3.12, 4 Pu 3.12
Pu  0.2500  0.2500  0.2500  4 Hg 3.12, 4 Rh 3.12

* final energy: -25.0 eV for the cell shown
* SG: F-43m (216)
* D(E_F): 3.290 states/eV/atom
* magnetization: 5.6 μB per formula unit
* volume: 93.74 Å³/cell
* energy relative to the elements: -0.2429 eV/atom


[16]
VASP calculation (PBE) on crystalline CaPuSiHg at its relaxed geometry.

Lattice parameters (Å, degrees): 5.1972 5.1972 5.1972 60.00 60.00 60.00
With the nearest neighbours (Å) after each atom.
Fractional positions:
Ca  0.7500  0.7500  0.7500  4 Hg 3.18, 4 Si 3.18
Si  0.5000  0.5000  0.5000  4 Pu 3.18, 4 Ca 3.18
Hg  0.0000  0.0000  0.0000  4 Ca 3.18, 4 Pu 3.18
Pu  0.2500  0.2500  0.2500  4 Si 3.18, 4 Hg 3.18

* final energy: -23.2 eV for the cell shown
* SG: F-43m (216)
* D(E_F): 2.721 states/eV/atom
* magnetization: 5.9 μB per formula unit
* volume: 99.26 Å³/cell


[17]
VASP calculation (PBE) on crystalline CaPuSnHg at its relaxed geometry.

Lattice parameters (Å, degrees): 5.4002 5.4002 5.4002 60.00 60.00 60.00
With the nearest neighbours (Å) after each atom.
Fractional positions:
Ca  0.5000  0.5000  0.5000  4 Sn 3.31, 4 Hg 3.31
Hg  0.7500  0.7500  0.7500  4 Pu 3.31, 4 Ca 3.31
Sn  0.2500  0.2500  0.2500  4 Ca 3.31, 4 Pu 3.31
Pu  0.0000  0.0000  0.0000  4 Hg 3.31, 4 Sn 3.31

* final energy: -22.3 eV for the cell shown
* SG: F-43m (216)
* D(E_F): 3.085 states/eV/atom
* magnetization: 6.0 μB per formula unit
* distance to the lowest polymorph of the same formula: 0 meV per atom
* volume: 111.36 Å³/cell
* energy relative to the elements: -0.4167 eV/atom


[18]
VASP calculation (PBE) on crystalline CaPuSnHg at its relaxed geometry.

Lattice parameters (Å, degrees): 3.5977 3.5977 8.3634 90.00 90.00 90.00
With the nearest neighbours (Å) after each atom.
Fractional positions:
Ca  0.0000  0.0000  0.8619  4 Hg 3.25, 4 Sn 3.31, 4 Ca 3.60
Pu  0.0000  0.0000  0.3545  4 Hg 3.30, 4 Sn 3.31, 4 Pu 3.60
Sn  0.5000  0.5000  0.6079  4 Pu 3.31, 4 Ca 3.31, 4 Sn 3.60
Hg  0.5000  0.5000  0.1037  4 Ca 3.25, 4 Pu 3.30, 4 Hg 3.60

* final energy: -22.2 eV for the cell shown
* SG: P4mm (99)
* D(E_F): 2.141 states/eV/atom
* magnetization: 6.1 μB per formula unit
* distance to the lowest polymorph of the same formula: 14 meV per atom
* volume: 108.25 Å³/cell
* energy relative to the elements: -0.4027 eV/atom


[19]
VASP calculation (PBE) on crystalline RbCaHg4 at its relaxed geometry.

Lattice parameters (Å, degrees): 6.3053 6.3053 6.3053 60.00 60.00 60.00
With the nearest neighbours (Å) after each atom.
Fractional positions:
Ca  0.2500  0.2500  0.2500  12 Hg 3.70, 4 Rb 3.86
Hg  0.6248  0.6248  0.1257  6 Hg 3.15-3.16
Hg  0.6248  0.1257  0.6248  6 Hg 3.15-3.16
Hg  0.6248  0.6248  0.6248  6 Hg 3.15-3.16
Hg  0.1257  0.6248  0.6248  6 Hg 3.15-3.16
Rb  0.0000  0.0000  0.0000  12 Hg 3.70, 4 Ca 3.86

* final energy: -5.3 eV for the cell shown
* SG: F-43m (216)
* D(E_F): 0.456 states/eV/atom
* magnetization: 0.0 μB per formula unit
* volume: 177.26 Å³/cell
* energy relative to the elements: -0.1811 eV/atom


[20]
VASP calculation (PBE) on crystalline RbCaHg2 at its relaxed geometry.

Lattice parameters (Å, degrees): 8.9466 8.9466 7.4363 53.02 53.02 90.00
With the nearest neighbours (Å) after each atom.
Fractional positions:
Ca  0.5000  0.5000  0.0000  4 Hg 3.10
Ca  0.2500  0.7500  0.5000  4 Hg 3.10
Hg  0.5885  0.1250  0.2500  2 Ca 3.10
Hg  0.1615  0.6250  0.2500  2 Ca 3.10
Hg  0.3750  0.4115  0.7500  2 Ca 3.10
Hg  0.8750  0.8385  0.7500  2 Ca 3.10
Rb  0.0000  0.0000  0.0000  4 Hg 3.54, 2 Ca 3.91
Rb  0.7500  0.2500  0.5000  4 Hg 3.54, 2 Ca 3.91

* final energy: -7.9 eV for the cell shown
* SG: I-42d (122)
* D(E_F): 1.084 states/eV/atom
* magnetization: 0.0 μB per formula unit
* distance to the lowest polymorph of the same formula: 210 meV per atom
* volume: 312.86 Å³/cell
* energy relative to the elements: -0.0993 eV/atom